# 1
{
  "formula": "SrAgHg2",
  "functional": "GGA-PBE",
  "state": "optimized geometry",
  "n_ef_per_ev_cell": 8.315,
  "m_tot_mub_per_fu": 0.00,
  "e_form_mev_per_atom": -175,
  "cell": [[4.4796, 0.0000, 0.0000], [-2.2398, 3.8794, 0.0000], [0.0000, 0.0000, 21.1274]],
  "species": ["Sr", "Sr", "Sr", "Ag", "Ag", "Ag", "Hg", "Hg", "Hg", "Hg", "Hg", "Hg"],
  "fractional_positions": [[0.0000, 0.0000, 0.0000], [0.3333, 0.6667, 0.6667], [0.6667, 0.3333, 0.3333], [0.0000, 0.0000, 0.8285], [0.3333, 0.6667, 0.4951], [0.6667, 0.3333, 0.1618], [0.0000, 0.0000, 0.4275], [0.0000, 0.0000, 0.5694], [0.3333, 0.6667, 0.0942], [0.3333, 0.6667, 0.2360], [0.6667, 0.3333, 0.7609], [0.6667, 0.3333, 0.9027]]
}

# 2
{
  "formula": "Sr2AgHg12",
  "functional": "GGA-PBE",
  "state": "optimized geometry",
  "n_ef_per_ev_cell": 14.636,
  "m_tot_mub_per_fu": 0.00,
  "e_form_mev_per_atom": -165,
  "cell": [[7.0547, 0.0000, 0.0000], [0.0000, 7.0547, 0.0000], [0.0000, 0.0000, 17.1614]],
  "species": ["Sr", "Sr", "Sr", "Sr", "Ag", "Ag", "Hg", "Hg", "Hg", "Hg", "Hg", "Hg", "Hg", "Hg", "Hg", "Hg", "Hg", "Hg", "Hg", "Hg", "Hg", "Hg", "Hg", "Hg", "Hg", "Hg", "Hg", "Hg", "Hg", "Hg"],
  "fractional_positions": [[0.2500, 0.7500, 0.2348], [0.2500, 0.7500, 0.7652], [0.7500, 0.2500, 0.2348], [0.7500, 0.2500, 0.7652], [0.2500, 0.7500, 0.0000], [0.7500, 0.2500, 0.0000], [0.9996, 0.0004, 0.0884], [0.0004, 0.9996, 0.9116], [0.0004, 0.5004, 0.0884], [0.9996, 0.4996, 0.9116], [0.0956, 0.5956, 0.4290], [0.0956, 0.9044, 0.5710], [0.2500, 0.2500, 0.1869], [0.2500, 0.2500, 0.3534], [0.2500, 0.2500, 0.6466], [0.2500, 0.2500, 0.8131], [0.4044, 0.5956, 0.5710], [0.4044, 0.9044, 0.4290], [0.4996, 0.9996, 0.0884], [0.5004, 0.0004, 0.9116], [0.5004, 0.4996, 0.0884], [0.4996, 0.5004, 0.9116], [0.5956, 0.0956, 0.5710], [0.5956, 0.4044, 0.4290], [0.7500, 0.7500, 0.1869], [0.7500, 0.7500, 0.3534], [0.7500, 0.7500, 0.6466], [0.7500, 0.7500, 0.8131], [0.9044, 0.0956, 0.4290], [0.9044, 0.4044, 0.5710]]
}

# 3
{
  "formula": "SrAgHg4",
  "functional": "GGA-PBE",
  "state": "optimized geometry",
  "n_ef_per_ev_cell": 3.950,
  "m_tot_mub_per_fu": 0.00,
  "de_polymorph_mev_per_atom": 0,
  "e_form_mev_per_atom": -236,
  "cell": [[2.6744, -8.2379, 0.0000], [2.6744, 8.2379, 0.0000], [0.0000, 0.0000, 7.1656]],
  "species": ["Sr", "Sr", "Ag", "Ag", "Hg", "Hg", "Hg", "Hg", "Hg", "Hg", "Hg", "Hg"],
  "fractional_positions": [[0.1638, 0.8362, 0.5000], [0.8362, 0.1638, 0.0000], [0.3480, 0.6520, 0.2971], [0.6520, 0.3480, 0.7971], [0.0347, 0.9653, 0.8671], [0.2108, 0.7892, 0.0076], [0.3521, 0.6479, 0.7022], [0.4768, 0.5232, 0.0218], [0.5232, 0.4768, 0.5218], [0.6479, 0.3521, 0.2022], [0.7892, 0.2108, 0.5076], [0.9653, 0.0347, 0.3671]]
}

# 4
{
  "formula": "Sr6AgHg5",
  "functional": "GGA-PBE",
  "state": "optimized geometry",
  "n_ef_per_ev_cell": 8.507,
  "m_tot_mub_per_fu": 0.00,
  "e_form_mev_per_atom": -486,
  "cell": [[-2.8340, 3.9352, 8.5433], [2.8340, -3.9352, 8.5433], [2.8340, 3.9352, -8.5433]],
  "species": ["Sr", "Sr", "Sr", "Sr", "Sr", "Sr", "Ag", "Hg", "Hg", "Hg", "Hg", "Hg"],
  "fractional_positions": [[0.0836, 0.3342, 0.7494], [0.2487, 0.0000, 0.2487], [0.4151, 0.6658, 0.7494], [0.5849, 0.3342, 0.2506], [0.7513, 0.0000, 0.7513], [0.9164, 0.6658, 0.2506], [0.0000, 0.5000, 0.5000], [0.1674, 0.1674, 0.0000], [0.3337, 0.8337, 0.5000], [0.5000, 0.5000, 0.0000], [0.6663, 0.1663, 0.5000], [0.8326, 0.8326, 0.0000]]
}

# 5
{
  "formula": "SrAgHg3",
  "functional": "GGA-PBE",
  "state": "optimized geometry",
  "n_ef_per_ev_cell": 2.118,
  "m_tot_mub_per_fu": 0.00,
  "de_polymorph_mev_per_atom": 690,
  "e_form_mev_per_atom": 406,
  "cell": [[6.2838, 0.0000, 0.0000], [0.0000, 6.2838, 0.0000], [0.0000, 0.0000, 6.2838]],
  "species": ["Sr", "Ag", "Hg", "Hg", "Hg"],
  "fractional_positions": [[0.0000, 0.0000, 0.0000], [0.5000, 0.5000, 0.5000], [0.0000, 0.0000, 0.5000], [0.0000, 0.5000, 0.0000], [0.5000, 0.0000, 0.0000]]
}

# 6
{
  "formula": "Sr3AgHg2",
  "functional": "GGA-PBE",
  "state": "optimized geometry",
  "n_ef_per_ev_cell": 3.584,
  "m_tot_mub_per_fu": 0.00,
  "e_form_mev_per_atom": -444,
  "cell": [[3.9537, 0.0000, 0.0000], [0.0000, 3.9537, 0.0000], [0.0000, 0.0000, 12.0786]],
  "species": ["Sr", "Sr", "Sr", "Ag", "Hg", "Hg"],
  "fractional_positions": [[0.0000, 0.0000, 0.0000], [0.0000, 0.0000, 0.3365], [0.0000, 0.0000, 0.6635], [0.5000, 0.5000, 0.5000], [0.5000, 0.5000, 0.1698], [0.5000, 0.5000, 0.8302]]
}

# 7
{
  "formula": "Sr2AgHg8",
  "functional": "GGA-PBE",
  "state": "optimized geometry",
  "n_ef_per_ev_cell": 2.802,
  "m_tot_mub_per_fu": 0.00,
  "e_form_mev_per_atom": -270,
  "cell": [[8.5167, -2.6493, 0.0000], [8.5167, 2.6493, 0.0000], [-3.1358, 0.0000, 6.6280]],
  "species": ["Sr", "Sr", "Ag", "Hg", "Hg", "Hg", "Hg", "Hg", "Hg", "Hg", "Hg"],
  "fractional_positions": [[0.2105, 0.2105, 0.2088], [0.7895, 0.7895, 0.7912], [0.5000, 0.5000, 0.5000], [0.0006, 0.0006, 0.2127], [0.1506, 0.1506, 0.6509], [0.3790, 0.3790, 0.6725], [0.3811, 0.3811, 0.0855], [0.6189, 0.6189, 0.9145], [0.6210, 0.6210, 0.3275], [0.8494, 0.8494, 0.3491], [0.9994, 0.9994, 0.7873]]
}

# 8
{
  "formula": "SrAgHg4",
  "functional": "GGA-PBE",
  "state": "optimized geometry",
  "n_ef_per_ev_cell": 3.826,
  "m_tot_mub_per_fu": 0.00,
  "de_polymorph_mev_per_atom": 11,
  "e_form_mev_per_atom": -225,
  "cell": [[7.6270, -3.8169, 0.0000], [7.6270, 3.8169, 0.0000], [-1.5894, 0.0000, 5.4304]],
  "species": ["Sr", "Sr", "Ag", "Ag", "Hg", "Hg", "Hg", "Hg", "Hg", "Hg", "Hg", "Hg"],
  "fractional_positions": [[0.2107, 0.2107, 0.1530], [0.7893, 0.7893, 0.8470], [0.4509, 0.4509, 0.2418], [0.5491, 0.5491, 0.7582], [0.0754, 0.6863, 0.4215], [0.1920, 0.8080, 0.0000], [0.3137, 0.9246, 0.5785], [0.3344, 0.3344, 0.7445], [0.6656, 0.6656, 0.2555], [0.6863, 0.0754, 0.4215], [0.8080, 0.1920, 0.0000], [0.9246, 0.3137, 0.5785]]
}

# 9
{
  "formula": "Sr7Ag2Hg2",
  "functional": "GGA-PBE",
  "state": "optimized geometry",
  "n_ef_per_ev_cell": 10.262,
  "m_tot_mub_per_fu": 0.00,
  "de_polymorph_mev_per_atom": 129,
  "e_form_mev_per_atom": -184,
  "cell": [[4.4473, -6.2009, 0.0000], [4.4473, 6.2009, 0.0000], [0.0000, 0.0000, 8.0541]],
  "species": ["Sr", "Sr", "Sr", "Sr", "Sr", "Sr", "Sr", "Ag", "Ag", "Hg", "Hg"],
  "fractional_positions": [[0.0000, 0.0000, 0.0000], [0.0000, 0.5000, 0.2693], [0.0000, 0.5000, 0.7307], [0.5000, 0.0000, 0.2693], [0.5000, 0.0000, 0.7307], [0.5000, 0.5000, 0.2547], [0.5000, 0.5000, 0.7453], [0.2903, 0.7097, 0.0000], [0.7097, 0.2903, 0.0000], [0.1789, 0.1789, 0.5000], [0.8211, 0.8211, 0.5000]]
}

# 10
{
  "formula": "SrAgHg3",
  "functional": "GGA-PBE",
  "state": "optimized geometry",
  "n_ef_per_ev_cell": 2.379,
  "m_tot_mub_per_fu": 0.00,
  "de_polymorph_mev_per_atom": 191,
  "e_form_mev_per_atom": -93,
  "cell": [[5.3805, 0.0000, 0.0000], [0.0000, 5.3805, 0.0000], [0.0000, 0.0000, 5.3805]],
  "species": ["Sr", "Ag", "Hg", "Hg", "Hg"],
  "fractional_positions": [[0.0000, 0.0000, 0.0000], [0.5000, 0.5000, 0.5000], [0.0000, 0.5000, 0.5000], [0.5000, 0.0000, 0.5000], [0.5000, 0.5000, 0.0000]]
}

# 11
{
  "formula": "SrAg4Hg4",
  "functional": "GGA-PBE",
  "state": "optimized geometry",
  "n_ef_per_ev_cell": 3.204,
  "m_tot_mub_per_fu": 0.00,
  "e_form_mev_per_atom": -42,
  "cell": [[-4.5778, 4.5778, 2.6041], [4.5778, -4.5778, 2.6041], [4.5778, 4.5778, -2.6041]],
  "species": ["Sr", "Ag", "Ag", "Ag", "Ag", "Hg", "Hg", "Hg", "Hg"],
  "fractional_positions": [[0.0000, 0.0000, 0.0000], [0.2953, 0.3975, 0.6929], [0.3975, 0.7047, 0.1022], [0.6025, 0.2953, 0.8978], [0.7047, 0.6025, 0.3071], [0.0863, 0.6471, 0.7334], [0.3529, 0.0863, 0.4392], [0.6471, 0.9137, 0.5608], [0.9137, 0.3529, 0.2666]]
}